Record 1
8
Lattice="4.077 0.000 0.000 0.000 4.077 0.000 0.000 0.000 8.150" Properties=species:S:1:pos:R:3 comment="PuScPd6 (PBE-GGA, relaxed)" sg="No. 123" formation_enthalpy_0k_ev_per_atom=-0.70 n_ef_per_ev_atom=2.36 final_energy_ev_per_atom=-7.175 pbc="T T T"
Pd 2.039 0.000 1.979
Pd 0.000 2.039 6.170
Pd 2.039 0.000 6.170
Pd 2.039 2.039 4.075
Pd 2.039 2.039 0.000
Pd 0.000 2.039 1.979
Sc 0.000 0.000 0.000
Pu 0.000 0.000 4.075

Record 2
5
Lattice="-0.930 -4.156 4.355 4.685 2.268 3.165 -3.378 3.424 2.546" Properties=species:S:1:pos:R:3 comment="BaLiCa2Cd (PBE-GGA, relaxed)" sg="No. 123" formation_enthalpy_0k_ev_per_atom=0.01 de_polymorph_ev_per_atom=0.000 n_ef_per_ev_atom=1.12 final_energy_ev_per_atom=-1.742 pbc="T T T"
Cd 0.000 0.000 0.000
Li -1.689 1.712 1.273
Ca -0.465 -2.078 2.178
Ca 2.342 1.134 1.582
Ba 0.189 0.768 5.033

Record 3
5
Lattice="4.810 0.000 0.000 0.000 4.810 0.000 0.000 0.000 4.810" Properties=species:S:1:pos:R:3 comment="Ag3IF (PBE-GGA, relaxed)" e_form_raw_ev_per_atom=-0.1780 sg="No. 221" de_polymorph_ev_per_atom=0.000 n_ef_per_ev_atom=0.45 final_energy_ev_per_atom=-2.573 pbc="T T T"
Ag 0.000 0.000 2.405
Ag 0.000 2.405 0.000
Ag 2.405 0.000 0.000
F 0.000 0.000 0.000
I 2.405 2.405 2.405

Record 4
10
Lattice="3.464 0.000 0.000 0.000 6.930 0.058 -1.732 -1.756 8.891" Properties=species:S:1:pos:R:3 comment="ErMg2Ag2 (PBE-GGA, relaxed)" sg="No. 12" formation_enthalpy_0k_ev_per_atom=-0.23 de_polymorph_ev_per_atom=0.000 n_ef_per_ev_atom=0.46 final_energy_ev_per_atom=-2.918 pbc="T T T"
Ag 1.732 3.457 1.958
Ag 0.000 5.182 7.020
Ag 0.000 1.717 6.991
Ag 1.732 -0.008 1.929
Er 0.000 5.197 0.043
Er 3.464 1.732 0.014
Mg 1.732 -0.016 5.472
Mg 0.000 1.725 3.448
Mg 1.732 3.449 5.501
Mg 0.000 5.190 3.477

Record 5
9
Lattice="5.045 0.000 0.000 -2.522 5.598 -1.988 0.000 -0.663 9.591" Properties=species:S:1:pos:R:3 comment="La3Mg2Tl4 (PBE-GGA, relaxed)" sg="No. 12" formation_enthalpy_0k_ev_per_atom=-0.35 n_ef_per_ev_atom=0.61 final_energy_ev_per_atom=-3.398 pbc="T T T"
La 0.000 3.538 1.828
La 0.000 0.000 0.000
La 2.522 1.396 5.774
Mg 2.522 1.102 2.270
Mg 0.000 3.832 5.333
Tl 2.522 4.248 3.951
Tl 0.000 0.686 3.651
Tl 0.000 2.877 8.096
Tl 2.522 2.058 -0.493

Record 6
10
Lattice="6.975 0.000 0.004 0.000 6.978 0.004 3.490 3.492 4.921" Properties=species:S:1:pos:R:3 comment="Sr2Zn6PtAu (PBE-GGA, relaxed)" sg="No. 12" formation_enthalpy_0k_ev_per_atom=-0.28 n_ef_per_ev_atom=0.36 final_energy_ev_per_atom=-2.315 pbc="T T T"
Zn 3.487 3.488 2.438
Zn 1.762 1.762 0.003
Zn 8.703 5.254 4.925
Zn 1.762 5.217 0.004
Zn 8.704 8.708 4.926
Zn 6.979 6.982 2.490
Au 0.000 0.000 0.000
Pt 3.488 3.489 0.004
Sr 6.976 3.492 2.463
Sr 3.490 6.979 2.465

Repeat the first record exactly.
8
Lattice="4.077 0.000 0.000 0.000 4.077 0.000 0.000 0.000 8.150" Properties=species:S:1:pos:R:3 comment="PuScPd6 (PBE-GGA, relaxed)" sg="No. 123" formation_enthalpy_0k_ev_per_atom=-0.70 n_ef_per_ev_atom=2.36 final_energy_ev_per_atom=-7.175 pbc="T T T"
Pd 2.039 0.000 1.979
Pd 0.000 2.039 6.170
Pd 2.039 0.000 6.170
Pd 2.039 2.039 4.075
Pd 2.039 2.039 0.000
Pd 0.000 2.039 1.979
Sc 0.000 0.000 0.000
Pu 0.000 0.000 4.075